# 1
# Li3AcGe

A geometry-optimized Li3AcGe structure (PBE, Alexandria via LeMat-Bulk).

Values from the calculation:
For the formation enthalpy at 0 K, the calculation gives -0.1300 eV per atom. Its volume is 114.5 Å³/cell. The polymorph energy (0 for the lowest one) is 0.67 eV/f.u.

a = 4.856 Å, b = 4.856 Å, c = 4.856 Å
α = 90.00°, β = 90.00°, γ = 90.00°
Positions (direct):
Li1 0.500 0.000 0.000
Ge1 0.000 0.000 0.000
Li2 0.000 0.500 0.000
Li3 0.000 0.000 0.500
Ac1 0.500 0.500 0.500

***

# 2
# LiAcGe2

A geometry-optimized LiAcGe2 structure (PBE, Alexandria via LeMat-Bulk).

Values from the calculation:
For the formation enthalpy at 0 K, the calculation gives -0.6467 eV per atom. Its volume is 373.7 Å³/cell. The polymorph energy (0 for the lowest one) is 0.00 eV/f.u.

a = 4.165 Å, b = 7.986 Å, c = 11.234 Å
α = 90.00°, β = 90.00°, γ = 90.00°
Positions (direct):
Ge1 0.250 0.707 0.928
Li1 0.750 0.504 0.884
Ge2 0.250 0.165 0.179
Li2 0.250 0.496 0.116
Ge3 0.750 0.793 0.428
Ge4 0.250 0.207 0.572
Ge5 0.750 0.293 0.072
Ge6 0.750 0.835 0.821
Ge7 0.750 0.335 0.679
Ge8 0.250 0.665 0.321
Ac1 0.250 0.641 0.631
Ac2 0.750 0.359 0.369
Ac3 0.250 0.141 0.869
Li3 0.250 0.996 0.384
Ac4 0.750 0.859 0.131
Li4 0.750 0.004 0.616

***

# 3
# Li2Ac3Ge4

A geometry-optimized Li2Ac3Ge4 structure (PBE, Alexandria via LeMat-Bulk).

Values from the calculation:
For the formation enthalpy at 0 K, the calculation gives -0.6624 eV per atom. Its volume is 229.4 Å³/cell.

a = 4.511 Å, b = 6.284 Å, c = 8.855 Å
α = 100.90°, β = 90.00°, γ = 111.03°
Positions (direct):
Ge1 0.714 0.428 0.055
Ac1 0.342 0.684 0.330
Ge2 0.062 0.124 0.391
Ge3 0.286 0.572 0.945
Li1 0.619 0.238 0.290
Li2 0.381 0.762 0.710
Ge4 0.938 0.876 0.609
Ac2 0.658 0.316 0.670
Ac3 0.000 0.000 0.000

***

# 4
# LiAc6Ge2

A geometry-optimized LiAc6Ge2 structure (PBE, Alexandria via LeMat-Bulk).

Values from the calculation:
For the formation enthalpy at 0 K, the calculation gives -0.2347 eV per atom. Its volume is 642.6 Å³/cell.

a = 7.164 Å, b = 8.659 Å, c = 10.386 Å
α = 90.00°, β = 85.97°, γ = 90.00°
Positions (direct):
Ge1 0.928 0.370 0.754
Ac1 0.856 0.660 0.560
Li1 0.000 0.000 0.500
Ac2 0.165 0.045 0.768
Li2 0.500 0.500 0.000
Ac3 0.621 0.190 0.563
Ac4 0.644 0.160 0.940
Ac5 0.356 0.840 0.060
Ac6 0.879 0.690 0.937
Ac7 0.335 0.545 0.732
Ac8 0.144 0.340 0.440
Ac9 0.379 0.810 0.437
Ac10 0.121 0.310 0.063
Ac11 0.665 0.455 0.268
Ac12 0.835 0.955 0.232
Ge2 0.428 0.130 0.254
Ge3 0.572 0.870 0.746
Ge4 0.072 0.630 0.246

***

# 5
# Li2Ac5Ge5

A geometry-optimized Li2Ac5Ge5 structure (PBE, Alexandria via LeMat-Bulk).

Values from the calculation:
For the formation enthalpy at 0 K, the calculation gives -0.4929 eV per atom. Its volume is 341.9 Å³/cell. The polymorph energy (0 for the lowest one) is 1.21 eV/f.u.

a = 4.486 Å, b = 6.897 Å, c = 13.733 Å
α = 119.79°, β = 90.00°, γ = 108.98°
Positions (direct):
Ge1 0.337 0.674 0.222
Ac1 0.327 0.655 0.728
Ge2 0.000 0.000 0.000
Ge3 0.179 0.358 0.453
Ac2 0.661 0.322 0.010
Li1 0.048 0.096 0.737
Ge4 0.663 0.326 0.778
Ac3 0.339 0.678 0.990
Ge5 0.821 0.642 0.547
Ac4 0.673 0.345 0.272
Li2 0.952 0.904 0.263
Ac5 0.500 0.000 0.500

***

# 6
# Li2Ac12Ge5

A geometry-optimized Li2Ac12Ge5 structure (PBE, Alexandria via LeMat-Bulk).

Values from the calculation:
For the formation enthalpy at 0 K, the calculation gives -0.2374 eV per atom. Its volume is 704.1 Å³/cell.

a = 7.961 Å, b = 9.763 Å, c = 10.068 Å
α = 98.96°, β = 90.00°, γ = 114.06°
Positions (direct):
Ac1 0.095 0.705 0.419
Ge1 0.703 0.406 0.372
Ge2 0.663 0.325 0.847
Li1 0.657 0.000 0.000
Ac2 0.018 0.036 0.816
Ac3 0.427 0.352 0.112
Ac4 0.517 0.034 0.302
Ac5 0.925 0.352 0.112
Ac6 0.390 0.295 0.581
Ac7 0.610 0.705 0.419
Ge3 0.297 0.594 0.628
Li2 0.343 0.000 0.000
Ge4 0.000 0.000 0.500
Ac8 0.905 0.295 0.581
Ac9 0.982 0.964 0.184
Ac10 0.075 0.648 0.888
Ge5 0.337 0.675 0.153
Ac11 0.483 0.966 0.698
Ac12 0.573 0.648 0.888

***

# 7
# LiAc3Ge4

A geometry-optimized LiAc3Ge4 structure (PBE, Alexandria via LeMat-Bulk).

Values from the calculation:
For the formation enthalpy at 0 K, the calculation gives -0.5477 eV per atom. Its volume is 242.8 Å³/cell.

a = 4.708 Å, b = 6.297 Å, c = 9.084 Å
α = 110.28°, β = 105.02°, γ = 90.00°
Positions (direct):
Ac1 0.000 0.500 0.000
Ge1 0.622 0.821 0.243
Li1 0.500 0.000 0.000
Ac2 0.809 0.809 0.618
Ge2 0.378 0.578 0.757
Ge3 0.378 0.179 0.757
Ge4 0.622 0.422 0.243
Ac3 0.191 0.191 0.382

***

# 8
# LiAcGe4

A geometry-optimized LiAcGe4 structure (PBE, Alexandria via LeMat-Bulk).

Values from the calculation:
For the formation enthalpy at 0 K, the calculation gives -0.3034 eV per atom. Its volume is 134.4 Å³/cell. The polymorph energy (0 for the lowest one) is 0.22 eV/f.u.

a = 5.750 Å, b = 5.750 Å, c = 5.750 Å
α = 60.00°, β = 60.00°, γ = 60.00°
Positions (direct):
Ac1 0.250 0.250 0.250
Li1 0.000 0.000 0.000
Ge1 0.627 0.627 0.627
Ge2 0.627 0.120 0.627
Ge3 0.120 0.627 0.627
Ge4 0.627 0.627 0.120

***

# 9
# LiAc2Ge

A geometry-optimized LiAc2Ge structure (PBE, Alexandria via LeMat-Bulk).

Values from the calculation:
For the formation enthalpy at 0 K, the calculation gives -0.3040 eV per atom. Its volume is 120.6 Å³/cell. The polymorph energy (0 for the lowest one) is 0.27 eV/f.u.

a = 5.546 Å, b = 5.546 Å, c = 5.546 Å
α = 60.00°, β = 60.00°, γ = 60.00°
Positions (direct):
Ac1 0.250 0.250 0.250
Ge1 0.500 0.500 0.500
Li1 0.000 0.000 0.000
Ac2 0.750 0.750 0.750

***

# 10
# LiAc3Ge

A geometry-optimized LiAc3Ge structure (PBE, Alexandria via LeMat-Bulk).

Values from the calculation:
For the formation enthalpy at 0 K, the calculation gives -0.1442 eV per atom. Its volume is 730.8 Å³/cell.

a = 6.461 Å, b = 11.085 Å, c = 10.235 Å
α = 94.46°, β = 90.00°, γ = 90.00°
Positions (direct):
Ac1 0.741 0.390 0.864
Ge1 0.232 0.434 0.871
Ge2 0.768 0.566 0.129
Ac2 0.188 0.271 0.110
Ac3 0.241 0.610 0.636
Ge3 0.268 0.434 0.371
Ac4 0.759 0.390 0.364
Ac5 0.259 0.610 0.136
Ac6 0.565 0.952 0.675
Ac7 0.312 0.271 0.610
Ac8 0.812 0.729 0.890
Li1 0.889 0.107 0.485
Ac9 0.435 0.048 0.325
Ac10 0.935 0.952 0.175
Li2 0.389 0.893 0.015
Ac11 0.065 0.048 0.825
Li3 0.111 0.893 0.515
Ge4 0.732 0.566 0.629
Ac12 0.688 0.729 0.390
Li4 0.611 0.107 0.985

***

# 11
# LiAc5Ge4

A geometry-optimized LiAc5Ge4 structure (PBE, Alexandria via LeMat-Bulk).

Values from the calculation:
For the formation enthalpy at 0 K, the calculation gives -0.4652 eV per atom. Its volume is 338.4 Å³/cell.

a = 5.250 Å, b = 7.606 Å, c = 12.200 Å
α = 133.34°, β = 102.43°, γ = 90.00°
Positions (direct):
Ac1 0.852 0.708 0.705
Ac2 0.170 0.861 0.340
Ge1 0.011 0.274 0.022
Ac3 0.500 0.500 0.000
Ac4 0.148 0.292 0.295
Ge2 0.989 0.726 0.978
Ac5 0.830 0.139 0.660
Li1 0.500 0.000 0.000
Ge3 0.315 0.876 0.630
Ge4 0.685 0.124 0.370

***

# 12
# Li2AcGe

A geometry-optimized Li2AcGe structure (PBE, Alexandria via LeMat-Bulk).

Values from the calculation:
For the formation enthalpy at 0 K, the calculation gives -0.3511 eV per atom. Its volume is 366.8 Å³/cell.

a = 6.055 Å, b = 6.901 Å, c = 8.778 Å
α = 90.00°, β = 90.00°, γ = 90.00°
Positions (direct):
Ac1 0.128 0.250 0.556
Ge1 0.151 0.750 0.110
Li1 0.610 0.438 0.669
Ge2 0.651 0.250 0.390
Ge3 0.849 0.250 0.890
Li2 0.390 0.938 0.331
Ge4 0.349 0.750 0.610
Ac2 0.372 0.250 0.056
Li3 0.890 0.438 0.169
Li4 0.110 0.562 0.831
Li5 0.110 0.938 0.831
Ac3 0.628 0.750 0.944
Ac4 0.872 0.750 0.444
Li6 0.890 0.062 0.169
Li7 0.610 0.062 0.669
Li8 0.390 0.562 0.331

***

| no. | total magnetization (μB/cell) |
| --- | --- |
| 1 | 0.0 |
| 2 | 0.0 |
| 3 | 0.0 |
| 4 | 0.0 |
| 5 | 0.0 |
| 6 | 0.0 |
| 7 | 0.0 |
| 8 | 0.0 |
| 9 | 0.0 |
| 10 | 0.0 |
| 11 | 0.0 |
| 12 | 2.7 |